1.
7
Lattice="-0.7177 -0.8262 -5.5326 3.9319 -3.2537 2.4002 -4.5105 -4.5179 1.2611" Properties=species:S:1:pos:R:3 comment="PBE TlCd5Sn, optimized geometry" space_group="Cmmm (65)" vol_a3_per_atom=26.8 e_form_ev_per_atom=0.0820 dos_at_fermi_per_ev_cell=2.045 pbc="T T T"
Tl 0.0000 0.0000 0.0000
Cd 2.4792 -4.7623 -0.0604
Cd 0.1545 -3.5486 -4.0266
Cd -2.2552 -2.2589 0.6306
Cd -1.4508 -5.0492 2.1553
Cd -3.7755 -3.8355 -1.8110
Sn -0.6481 -4.2989 -0.9357

---

2.
10
Lattice="-0.6162 -1.9119 -3.0966 3.6211 -0.0080 -0.7155 1.7928 -15.5546 9.2472" Properties=species:S:1:pos:R:3 comment="PBE Ca4LaAu5, optimized geometry" space_group="P4/mmm (123)" vol_a3_per_atom=24.8 e_form_ev_per_atom=-0.7893 dos_at_fermi_per_ev_cell=6.386 pbc="T T T"
Ca 0.3685 -3.1968 1.9005
Ca 0.7211 -6.2566 3.7195
Ca 1.0717 -9.2981 5.5277
Ca 1.4243 -12.3578 7.3467
La 0.0000 0.0000 0.0000
Au 1.6866 -2.5576 -0.9563
Au 2.0471 -5.6855 0.9032
Au 2.3989 -8.7373 2.7175
Au 2.7506 -11.7891 4.5318
Au 3.1111 -14.9170 6.3913

---

Ordered magnetic moment results: 0.00; 0.00; unit μB/f.u..
Ordered DFT total energy results: -10.4; -37.2; unit eV/cell.